The following is a PBE-GGA calculation of an optimized crystal structure of KBe2TlCl6, from Alexandria via LeMat-Bulk.

a b c (Å): 12.987 12.156 8.505
angles (deg): 90.00 112.02 90.00
Space group C2/c (No. 15)
Asymmetric unit:
1 K 0.000 0.101 0.250 x4
2 Be 0.232 0.393 0.182 x8
3 Tl 0.000 0.360 0.750 x4
4 Cl 0.115 0.112 0.660 x8
5 Cl 0.146 0.260 0.124 x8
6 Cl 0.170 0.472 0.565 x8

Summary:
Its spin magnetization is 0.00 μB/f.u. The total energy is -3.653 eV per atom. As for the volume: 1244.68 Å³ per cell. For the raw formation energy, the calculation gives -140.23 kJ per mole of atoms.